Model one:
5
Lattice="5.1805 0.0000 0.0000 0.0000 5.1805 0.0000 2.5902 2.5902 5.5161" Properties=species:S:1:pos:R:3 comment="PBE BaTl2Ge2, relaxed" spacegroup="No. 139" magmom_total_mub_per_cell=0.00 vol_a3_per_cell=148.04 pbc="T T T"
Tl 2.5902 2.5902 1.4774
Tl 5.1805 5.1805 4.0387
Ge 5.1805 2.5902 2.7581
Ge 2.5902 5.1805 2.7581
Ba 0.0000 0.0000 0.0000

---

Model two:
10
Lattice="8.2898 0.0000 0.0000 0.0000 8.2898 0.0000 0.0000 0.0000 4.4816" Properties=species:S:1:pos:R:3 comment="PBE BaTl2Ge2, relaxed" spacegroup="No. 127" magmom_total_mub_per_cell=0.00 vol_a3_per_cell=307.98 pbc="T T T"
Tl 1.3550 5.4999 2.2408
Tl 5.4999 6.9348 2.2408
Tl 6.9348 2.7899 2.2408
Tl 2.7899 1.3550 2.2408
Ge 3.2732 7.4181 0.0000
Ge 7.4181 5.0166 0.0000
Ge 5.0166 0.8717 0.0000
Ge 0.8717 3.2732 0.0000
Ba 0.0000 0.0000 0.0000
Ba 4.1449 4.1449 0.0000

---

model one wins, 0.063 eV/atom ahead of the next structure.

---

Model one:
5
Lattice="4.9119 0.0000 0.0000 0.0000 4.9119 0.0000 2.4559 2.4559 6.1709" Properties=species:S:1:pos:R:3 comment="PBE BaTl2Ge2, relaxed" spacegroup="No. 139" magmom_total_mub_per_cell=0.00 vol_a3_per_cell=148.88 pbc="T T T"
Tl 4.9119 2.4559 3.0855
Tl 2.4559 4.9119 3.0855
Ge 2.4559 2.4559 1.2687
Ge 4.9119 4.9119 4.9022
Ba 0.0000 0.0000 0.0000

---

Model two:
10
Lattice="-2.0914 -8.0418 -3.1224 8.5479 -2.3653 0.3663 -0.4719 -1.1840 3.3656" Properties=species:S:1:pos:R:3 comment="PBE BaTl2Ge2, relaxed" spacegroup="No. 127" magmom_total_mub_per_cell=0.00 vol_a3_per_cell=283.57 pbc="T T T"
Tl 6.6823 -5.0647 -0.8449
Tl 3.5335 -8.5037 -2.4963
Tl -0.2259 -5.3424 -1.9112
Tl 2.9230 -1.9034 -0.2598
Ge 5.1126 -3.5068 1.4072
Ge 5.4954 -7.9230 -0.0928
Ge 0.8720 -8.0843 -0.7977
Ge 0.4892 -3.6681 0.7022
Ba 0.0000 0.0000 0.0000
Ba 3.2282 -5.2035 -1.3780

---

model one wins, 0.184 eV/atom ahead of the next structure.